[1]
{"formula": "Tm2Al9Pd3", "functional": "meta-GGA SCAN", "state": "single point on PBEsol structure", "m_tot_mub_per_fu": 0.35, "density_g_cm3": 6.5, "formation_energy_ev_per_fu": -11.1, "cell": [[6.532, -3.809, 0.000], [6.532, 3.809, 0.000], [0.000, 0.000, 9.305]], "species": ["Tm", "Tm", "Tm", "Tm", "Al", "Al", "Al", "Al", "Al", "Al", "Al", "Al", "Al", "Al", "Al", "Al", "Al", "Al", "Al", "Al", "Al", "Al", "Pd", "Pd", "Pd", "Pd", "Pd", "Pd"], "frac_coords": [[0.007, 0.671, 0.750], [0.329, 0.993, 0.750], [0.671, 0.007, 0.250], [0.993, 0.329, 0.250], [0.001, 0.335, 0.578], [0.001, 0.335, 0.922], [0.128, 0.872, 0.250], [0.332, 0.668, 0.557], [0.332, 0.668, 0.943], [0.335, 0.001, 0.078], [0.335, 0.001, 0.422], [0.339, 0.450, 0.250], [0.450, 0.339, 0.750], [0.550, 0.661, 0.250], [0.661, 0.550, 0.750], [0.665, 0.999, 0.578], [0.665, 0.999, 0.922], [0.668, 0.332, 0.057], [0.668, 0.332, 0.443], [0.872, 0.128, 0.750], [0.999, 0.665, 0.078], [0.999, 0.665, 0.422], [0.000, 0.000, 0.000], [0.000, 0.000, 0.500], [0.328, 0.328, 0.000], [0.328, 0.328, 0.500], [0.672, 0.672, 0.000], [0.672, 0.672, 0.500]]}



[2]
{"formula": "TcNiNF2", "functional": "meta-GGA SCAN", "state": "single point on PBEsol structure", "e_form_raw_mev_per_atom": -314, "m_tot_mub_per_fu": 2.74, "density_g_cm3": 6.4, "cell": [[3.675, 0.000, 0.000], [0.000, 3.675, 0.000], [0.000, 0.000, 4.022]], "species": ["Tc", "Ni", "N", "F", "F"], "frac_coords": [[0.000, 0.000, 0.000], [0.500, 0.500, 0.500], [0.500, 0.500, 0.000], [0.000, 0.500, 0.500], [0.500, 0.000, 0.500]]}



[3]
{"formula": "Ga2MoPtO", "functional": "meta-GGA SCAN", "state": "single point on PBEsol structure", "e_form_raw_mev_per_atom": 668, "m_tot_mub_per_fu": 3.06, "density_g_cm3": 6.8, "cell": [[4.619, 0.000, 0.000], [0.000, 4.619, 0.000], [0.000, 0.000, 5.087]], "species": ["Ga", "Ga", "Mo", "Pt", "O"], "frac_coords": [[0.000, 0.500, 0.000], [0.500, 0.000, 0.000], [0.000, 0.000, 0.500], [0.000, 0.000, 0.000], [0.500, 0.500, 0.500]]}



[4]
{"formula": "SrMgMn2", "functional": "meta-GGA SCAN", "state": "single point on PBEsol structure", "m_tot_mub_per_fu": 0.47, "density_g_cm3": 4.5, "formation_energy_ev_per_fu": 0.6, "cell": [[3.180, 0.000, 0.000], [0.000, 3.180, 0.000], [0.000, 0.000, 8.090]], "species": ["Sr", "Mg", "Mn", "Mn"], "frac_coords": [[0.000, 0.000, 0.000], [0.500, 0.500, 0.354], [0.000, 0.000, 0.591], [0.500, 0.500, 0.698]]}



[5]
{"formula": "SiBAs2", "functional": "meta-GGA SCAN", "state": "single point on PBEsol structure", "e_form_raw_mev_per_atom": 227, "m_tot_mub_per_fu": 0.00, "density_g_cm3": 4.6, "cell": [[5.498, 0.000, 0.000], [0.000, 5.498, 0.000], [0.000, 0.000, 8.954]], "species": ["Si", "Si", "Si", "Si", "B", "B", "B", "B", "As", "As", "As", "As", "As", "As", "As", "As"], "frac_coords": [[0.000, 0.000, 0.000], [0.000, 0.500, 0.250], [0.500, 0.000, 0.750], [0.500, 0.500, 0.500], [0.000, 0.000, 0.500], [0.000, 0.500, 0.750], [0.500, 0.000, 0.250], [0.500, 0.500, 0.000], [0.197, 0.750, 0.625], [0.250, 0.197, 0.375], [0.250, 0.303, 0.875], [0.303, 0.750, 0.125], [0.697, 0.250, 0.125], [0.750, 0.697, 0.875], [0.750, 0.803, 0.375], [0.803, 0.250, 0.625]]}



[6]
{"formula": "PrHfO4", "functional": "meta-GGA SCAN", "state": "single point on PBEsol structure", "e_form_raw_mev_per_atom": -3303, "m_tot_mub_per_fu": 1.00, "density_g_cm3": 8.0, "cell": [[-2.707, 2.707, 5.425], [2.707, -2.707, 5.425], [2.707, 2.707, -5.425]], "species": ["Pr", "Pr", "Hf", "Hf", "O", "O", "O", "O", "O", "O", "O", "O"], "frac_coords": [[0.375, 0.125, 0.250], [0.625, 0.875, 0.750], [0.125, 0.375, 0.750], [0.875, 0.625, 0.250], [0.019, 0.244, 0.312], [0.207, 0.519, 0.274], [0.256, 0.067, 0.774], [0.433, 0.707, 0.188], [0.567, 0.293, 0.812], [0.744, 0.933, 0.226], [0.793, 0.481, 0.726], [0.981, 0.756, 0.688]]}



[7]
{"formula": "InCoAg", "functional": "meta-GGA SCAN", "state": "single point on PBEsol structure", "m_tot_mub_per_fu": 0.00, "density_g_cm3": 10.1, "formation_energy_ev_per_fu": 1.2, "cell": [[3.038, 0.000, 0.000], [0.000, 3.038, 0.000], [0.000, 0.000, 10.057]], "species": ["In", "In", "Co", "Co", "Ag", "Ag"], "frac_coords": [[0.000, 0.000, 0.000], [0.500, 0.500, 0.500], [0.000, 0.000, 0.646], [0.500, 0.500, 0.146], [0.000, 0.000, 0.306], [0.500, 0.500, 0.806]]}



[8]
{"formula": "NbCl5", "functional": "meta-GGA SCAN", "state": "single point on PBEsol structure", "e_form_raw_mev_per_atom": -1366, "m_tot_mub_per_fu": 0.00, "density_g_cm3": 2.6, "cell": [[7.996, 0.000, 0.000], [0.000, 10.397, 0.000], [-7.989, 0.000, 8.153]], "species": ["Nb", "Nb", "Nb", "Nb", "Cl", "Cl", "Cl", "Cl", "Cl", "Cl", "Cl", "Cl", "Cl", "Cl", "Cl", "Cl", "Cl", "Cl", "Cl", "Cl", "Cl", "Cl", "Cl", "Cl"], "frac_coords": [[0.106, 0.139, 0.160], [0.106, 0.361, 0.660], [0.894, 0.639, 0.340], [0.894, 0.861, 0.840], [0.073, 0.146, 0.621], [0.073, 0.354, 0.121], [0.100, 0.607, 0.638], [0.100, 0.893, 0.138], [0.263, 0.614, 0.440], [0.263, 0.886, 0.940], [0.291, 0.121, 0.426], [0.291, 0.379, 0.926], [0.449, 0.125, 0.221], [0.449, 0.375, 0.721], [0.551, 0.625, 0.279], [0.551, 0.875, 0.779], [0.709, 0.621, 0.074], [0.709, 0.879, 0.574], [0.737, 0.114, 0.060], [0.737, 0.386, 0.560], [0.900, 0.107, 0.862], [0.900, 0.393, 0.362], [0.927, 0.646, 0.879], [0.927, 0.854, 0.379]]}